(1)
Compound: Pr2ScO4
Source: Alexandria
Functional: PBE-GGA
Structure: optimized geometry

Unit cell a=6.148 b=6.148 c=6.784 alpha=90.00 beta=107.29 gamma=90.00
Positions (direct):
Pr  0.363  0.250  0.978
Pr  0.286  0.250  0.455
Pr  0.637  0.750  0.022
Pr  0.714  0.750  0.545
O  0.954  0.750  0.329
O  0.442  0.977  0.266
O  0.963  0.750  0.894
O  0.558  0.477  0.734
O  0.442  0.523  0.266
O  0.037  0.250  0.106
O  0.046  0.250  0.671
O  0.558  0.023  0.734
Sc  0.179  0.750  0.174
Sc  0.821  0.250  0.826

Summary:
N(E_F) = 0.29 states/eV per atom
ΔE_f (raw) = -20.65 eV/f.u.
Crystal system = monoclinic

---

(2)
Compound: RbNaCu2I4
Source: Alexandria
Functional: PBE-GGA
Structure: optimized geometry

Unit cell a=7.770 b=7.562 c=7.562 alpha=73.01 beta=59.08 gamma=59.08
Positions (direct):
I  0.416  0.142  0.496
I  0.584  0.504  0.858
I  0.054  0.858  0.504
I  0.946  0.496  0.142
Rb  0.000  0.000  0.000
Cu  0.138  0.362  0.362
Cu  0.862  0.638  0.638
Na  0.500  0.500  0.500

Summary:
N(E_F) = 0.00 states/eV per atom
ΔE_f (raw) = -5.76 eV/f.u.
Crystal system = orthorhombic

---

(3)
Compound: Ba2Mg2Co
Source: Alexandria
Functional: PBE-GGA
Structure: optimized geometry

Unit cell a=4.000 b=4.000 c=10.798 alpha=79.33 beta=79.33 gamma=90.00
Positions (direct):
Co  0.000  0.000  0.000
Mg  0.750  0.250  0.500
Mg  0.250  0.750  0.500
Ba  0.586  0.586  0.829
Ba  0.414  0.414  0.171

Summary:
Energy above the lowest structure with this stoichiometry = 0.00 eV per formula unit
N(E_F) = 1.35 states/eV per atom
Formation energy from the elements = 422 meV/atom
Crystal system = tetragonal